Np2Be4CuSi3 | GGA-PBE | optimized geometry

The calculation puts the magnetic moment at 0.7928 μB/atom. For the calculated volume, the calculation gives 140 Å³/cell. As for the calculated density: 7.79 g/cm³. As for the total energy: -6.290 eV per atom. The formation energy (no corrections) comes out at -0.175 eV/atom.

The structure belongs to space group P-4m2 (No. 115); the cell edges are 3.8264, 3.8264 and 9.5824 Å and the angles 90.00°, 90.00° and 90.00°. The asymmetric unit holds Np at (0.0000, 0.5000, 0.2467), Be at (0.0000, 0.0000, 0.0000), Be at (0.0000, 0.5000, 0.6307), Be at (0.5000, 0.5000, 0.0000), Cu at (0.0000, 0.0000, 0.5000), Si at (0.0000, 0.5000, 0.8661) and Si at (0.5000, 0.5000, 0.5000).

---

AcPr2Pb | GGA-PBE | optimized geometry

The calculation puts the magnetic moment at 0.0000 μB/atom. The formation energy is 0.023 eV per atom. For the calculated volume, the calculation gives 442 Å³/cell. For the offset from the most stable computed form, the calculation gives 0.3269 eV/atom. As for the calculated density: 8.06 g/cm³. As for the total energy: -4.321 eV per atom.

The structure belongs to space group R-3m (No. 166, hexagonal axes); the cell edges are 3.6748, 3.6748 and 37.8263 Å and the angles 90.00°, 90.00° and 120.00°. The asymmetric unit holds Ac at (0.0000, 0.0000, 0.0000), Pr at (0.0000, 0.0000, 0.0953) and Pb at (0.0000, 0.0000, 0.5000).

---

NbB | GGA-PBE | optimized geometry

The calculation puts the magnetic moment at 0.0000 μB/atom. The formation energy is -0.405 eV per atom. For the calculated volume, the calculation gives 105 Å³/cell. As for the calculated density: 6.53 g/cm³. As for the total energy: -8.779 eV per atom.

The structure belongs to space group Immm (No. 71); the cell edges are 3.4019, 5.1430 and 6.0299 Å and the angles 90.00°, 90.00° and 90.00°. The asymmetric unit holds Nb at (0.0000, 0.0000, 0.2398) and B at (0.0000, 0.3355, 0.5000).